1.
Density functional theory data (PBE-GGA) for a relaxed Y3Al2Rh crystal.

For the formation energy, the calculation gives -0.56 eV/atom.

It has space group Pnma (No. 62), with a = 11.9353 Å, b = 4.4960 Å, c = 10.8166 Å, α = 90.00°, β = 90.00° and γ = 90.00°. Symmetry generates all atoms from Y at (0.0515, 0.2500, 0.1173), Y at (0.1160, 0.7500, 0.5653), Y at (0.2226, 0.2500, 0.8076), Al at (0.0223, 0.7500, 0.3007), Al at (0.2013, 0.7500, 0.0092) and Rh at (0.1175, 0.2500, 0.3757).

***

2.
Density functional theory data (PBE-GGA) for a relaxed NdTh2Te2As2 crystal.

For the uncorrected formation energy, the calculation gives -0.82 eV/atom.

It has space group I4/mmm (No. 139), with a = 5.4159 Å, b = 5.4159 Å, c = 15.8734 Å, α = 90.00°, β = 90.00° and γ = 90.00°. Symmetry generates all atoms from Nd at (0.0000, 0.0000, 0.0000), Th at (0.0000, 0.0000, 0.3916), Te at (0.0000, 0.0000, 0.1945) and As at (0.0000, 0.5000, 0.0000).

***

3.
Density functional theory data (PBE-GGA) for a relaxed Ca2SnPd crystal.

For the formation energy, the calculation gives -0.64 eV/atom.

It has space group P4/mmm (No. 123), with a = 3.6600 Å, b = 3.6600 Å, c = 7.4886 Å, α = 90.00°, β = 90.00° and γ = 90.00°. Symmetry generates all atoms from Ca at (0.0000, 0.0000, 0.2267), Sn at (0.5000, 0.5000, 0.5000) and Pd at (0.5000, 0.5000, 0.0000).

***

4.
Density functional theory data (PBE-GGA) for a relaxed Li15Al2Zn2 crystal.

For the formation energy, the calculation gives 0.03 eV/atom.

It has space group R-3m (No. 166, hexagonal axes), with a = 8.1325 Å, b = 8.1325 Å, c = 16.9229 Å, α = 90.00°, β = 90.00° and γ = 120.00°. Symmetry generates all atoms from Li at (0.0000, 0.3014, 0.0000), Li at (0.0000, 0.5000, 0.5000), Li at (0.0826, 0.5413, 0.1070), Al at (0.0000, 0.0000, 0.0869) and Zn at (0.0000, 0.0000, 0.2818).

***

5.
Density functional theory data (PBE-GGA) for a relaxed Ac3Sn5Ir6 crystal.

For the formation energy, the calculation gives -0.51 eV/atom.

It has space group Pmmn (No. 59, origin choice 2), with a = 4.4625 Å, b = 13.2794 Å, c = 11.0015 Å, α = 90.00°, β = 90.00° and γ = 90.00°. Symmetry generates all atoms from Ac at (0.2500, 0.0859, 0.2410), Ac at (0.2500, 0.7500, 0.2521), Sn at (0.2500, 0.0775, 0.6379), Sn at (0.2500, 0.6206, 0.9912), Sn at (0.2500, 0.7500, 0.6239), Ir at (0.2500, 0.0600, 0.8803), Ir at (0.2500, 0.2500, 0.5116), Ir at (0.2500, 0.2500, 0.9818) and Ir at (0.2500, 0.5823, 0.4919).

***

no.,calculated volume (Å³/atom)
1,24.18
2,33.26
3,25.08
4,17.00
5,23.28